(1)
First-principles (PBE) data for an optimized crystal structure of Tb5Nd2Ho6, as listed in Alexandria via LeMat-Bulk.

D(E_F): 32.6 states/eV/cell
Energy relative to the elements: 9.51 kJ per mole of atoms

Lattice parameters (Å, degrees): 3.5788 11.6848 20.2433 90.00 90.00 90.00
Fractional positions:
Tb 0.5000 0.2998 0.4487
Tb 0.5000 0.7002 0.5513
Tb 0.5000 0.7998 0.0513
Tb 0.5000 0.2002 0.9487
Tb 0.5000 0.5907 0.2778
Tb 0.5000 0.4093 0.7222
Tb 0.5000 0.0907 0.2222
Tb 0.5000 0.9093 0.7778
Tb 0.5000 0.5000 0.0000
Tb 0.5000 0.0000 0.5000
Nd 0.0000 0.3308 0.2842
Nd 0.0000 0.6692 0.7158
Nd 0.0000 0.8308 0.2158
Nd 0.0000 0.1692 0.7842
Ho 0.0000 0.0780 0.3659
Ho 0.0000 0.9220 0.6341
Ho 0.0000 0.5780 0.1341
Ho 0.0000 0.4220 0.8659
Ho 0.5000 0.3208 0.1279
Ho 0.5000 0.6792 0.8721
Ho 0.5000 0.8208 0.3721
Ho 0.5000 0.1792 0.6279
Ho 0.0000 0.5592 0.4221
Ho 0.0000 0.4408 0.5779
Ho 0.0000 0.0592 0.0779
Ho 0.0000 0.9408 0.9221

***

(2)
First-principles (PBE) data for an optimized crystal structure of Tb2NdHo6, as listed in Alexandria via LeMat-Bulk.

D(E_F): 14.2 states/eV/cell
Offset from the most stable computed form: 51 meV per atom
Energy relative to the elements: 6.85 kJ per mole of atoms

Lattice parameters (Å, degrees): 3.4666 5.6168 17.1870 119.36 101.66 89.98
Fractional positions:
Tb 0.8347 0.5013 0.8341
Tb 0.1653 0.4987 0.1659
Nd 0.5000 0.5000 0.5000
Ho 0.4457 0.1682 0.9455
Ho 0.5543 0.8318 0.0545
Ho 0.7747 0.1631 0.2754
Ho 0.1128 0.1690 0.6126
Ho 0.2253 0.8369 0.7246
Ho 0.8872 0.8310 0.3874